Record 1
# Ag2HgPO4 (PBE, relaxed)
# **Formation energy from raw total energies**: -1.0077 eV/atom
data_Ag2HgPO4
_chemical_formula_sum 'Ag8 Hg4 P4 O16'
_symmetry_space_group_name_H-M 'F m m 2'
_symmetry_Int_Tables_number 42
_symmetry_space_group_name_Hall 'F 2 -2'
_cell_length_a 6.580
_cell_length_b 7.950
_cell_length_c 9.361
_cell_angle_alpha 90.00
_cell_angle_beta 90.00
_cell_angle_gamma 90.00
loop_
_atom_site_label
_atom_site_fract_x
_atom_site_fract_y
_atom_site_fract_z
Ag1 0.250 0.250 0.000
Hg1 0.000 0.000 0.308
P1 0.000 0.000 0.738
O1 0.000 0.161 0.831
O2 0.196 0.000 0.640


Record 2
# PrGe2Ir4 (PBE, relaxed)
# **Calculated formation energy**: -527.3 meV per atom
data_PrGe2Ir4
_chemical_formula_sum 'Pr2 Ge4 Ir8'
_symmetry_space_group_name_H-M 'P 42/m n m'
_symmetry_Int_Tables_number 136
_symmetry_space_group_name_Hall '-P 4n 2n'
_cell_length_a 7.807
_cell_length_b 7.807
_cell_length_c 3.960
_cell_angle_alpha 90.00
_cell_angle_beta 90.00
_cell_angle_gamma 90.00
loop_
_atom_site_label
_atom_site_fract_x
_atom_site_fract_y
_atom_site_fract_z
Pr1 0.000 0.000 0.000
Ge1 0.226 0.226 0.500
Ir1 0.078 0.656 0.500